# LiSnP2O7

Crystalline LiSnP2O7 at its relaxed geometry (PBEsol, Alexandria).

## Properties
The symmetry is No. 14. As for the formation energy without anion corrections: -2.04 eV per atom. The density is 3.81 g/cm3. Its total moment is 0.00 μB per formula unit.

```
LiSnP2O7
1.0
-7.1334 0.2062 0.6738
-0.7588 -5.9294 -6.2187
3.8012 -6.2295 5.4758
Li O Sn P
4 28 4 8
direct
0.3000 0.0537 0.1833
0.7000 0.5537 0.3167
0.7000 0.9463 0.8167
0.3000 0.4463 0.6833
0.4749 0.4132 0.3378
0.5319 0.3786 0.8898
0.5251 0.9132 0.1622
0.1126 0.2437 0.1969
0.3891 0.2813 0.5537
0.5319 0.1214 0.3898
0.8874 0.7437 0.3031
0.8874 0.7563 0.8031
0.3891 0.2187 0.0537
0.9539 0.3906 0.8630
0.0461 0.8906 0.6370
0.1541 0.8906 0.2308
0.4681 0.8786 0.6102
0.7498 0.3342 0.5755
0.4749 0.0868 0.8378
0.9539 0.1094 0.3630
0.5251 0.5868 0.6622
0.2502 0.6658 0.4245
0.7498 0.1658 0.0755
0.1126 0.2563 0.6969
0.2502 0.8342 0.9245
0.1541 0.6094 0.7308
0.0461 0.6094 0.1370
0.8459 0.3906 0.2692
0.6109 0.7187 0.4463
0.4681 0.6214 0.1102
0.6109 0.7813 0.9463
0.8459 0.1094 0.7692
0.7519 0.9255 0.3969
0.7519 0.5745 0.8969
0.2481 0.0745 0.6031
0.2481 0.4255 0.1031
0.4716 0.7816 0.0399
0.5284 0.2816 0.4601
0.4716 0.7184 0.5399
0.0808 0.7601 0.7669
0.9192 0.2399 0.2331
0.5284 0.2184 0.9601
0.9192 0.2601 0.7331
0.0808 0.7399 0.2669
```

# NbSnSb3

Crystalline NbSnSb3 at its relaxed geometry (PBEsol, Alexandria).

## Properties
The symmetry is No. 221. As for the formation energy without anion corrections: 0.42 eV per atom. The density is 6.39 g/cm3. Its total moment is 0.00 μB per formula unit.

```
NbSnSb3
1.0
5.3129 0.0000 0.0000
0.0000 5.3129 0.0000
0.0000 0.0000 5.3129
Sb Sn Nb
3 1 1
direct
0.0000 0.0000 0.5000
0.0000 0.5000 0.0000
0.5000 0.0000 0.0000
0.5000 0.5000 0.5000
0.0000 0.0000 0.0000
```

# LiAl2Mo

Crystalline LiAl2Mo at its relaxed geometry (PBEsol, Alexandria).

## Properties
The symmetry is No. 123. The calculation puts the formation energy at -62 kJ/mol of formula units. The density is 4.44 g/cm3. Its total moment is 0.00 μB per formula unit.

```
LiAl2Mo
1.0
2.8537 0.0000 0.0000
0.0000 4.5354 0.0000
0.0000 0.0000 4.5354
Li Mo Al
1 1 2
direct
0.5000 0.0000 0.0000
0.5000 0.5000 0.5000
0.0000 0.5000 0.0000
0.0000 0.0000 0.5000
```

# AlCr2Os

Crystalline AlCr2Os at its relaxed geometry (PBEsol, Alexandria).

## Properties
The symmetry is No. 47. The calculation puts the formation energy at 7 kJ/mol of formula units. The density is 10.55 g/cm3. Its total moment is 0.00 μB per formula unit.

```
AlCr2Os
1.0
2.6462 0.0000 0.0000
0.0000 3.8531 0.0000
0.0000 0.0000 4.9591
Cr Al Os
2 1 1
direct
0.0000 0.0000 0.2568
0.0000 0.0000 0.7432
0.5000 0.5000 0.5000
0.5000 0.5000 0.0000
```

# BeZnRe

Crystalline BeZnRe at its relaxed geometry (PBEsol, Alexandria).

## Properties
The symmetry is No. 187. The calculation puts the formation energy at 50 kJ/mol of formula units. The density is 11.93 g/cm3. Its total moment is 0.00 μB per formula unit.

```
BeZnRe
1.0
-0.9894 0.8004 -2.2675
2.5917 -2.3536 -1.9616
-3.5963 -1.4269 1.0655
Be Zn Re
1 1 1
direct
0.5000 0.0000 0.0000
0.5000 0.6667 0.3333
0.0000 0.3333 0.6667
```

# MgTa2Os

Crystalline MgTa2Os at its relaxed geometry (PBEsol, Alexandria).

## Properties
The symmetry is No. 216. The calculation puts the formation energy at 84 kJ/mol of formula units. The density is 14.60 g/cm3. Its total moment is 0.02 μB per formula unit.

```
MgTa2Os
1.0
4.5259 0.0000 0.0000
2.2630 3.9196 0.0000
2.2630 1.3065 3.6954
Ta Os Mg
2 1 1
direct
0.0000 0.0000 0.0000
0.7500 0.7500 0.7500
0.2500 0.2500 0.2500
0.5000 0.5000 0.5000
```

# SbOsCl2

Crystalline SbOsCl2 at its relaxed geometry (PBEsol, Alexandria).

## Properties
The symmetry is No. 71. As for the formation energy without anion corrections: 0.24 eV per atom. The density is 7.18 g/cm3. Its total moment is 0.00 μB per formula unit.

```
SbOsCl2
1.0
-0.4570 1.1125 -2.7824
-4.8616 0.0098 0.8024
3.0245 4.9512 3.1341
Cl Os Sb
2 1 1
direct
0.6589 0.6589 0.3177
0.3411 0.3411 0.6823
0.0000 0.5000 0.0000
0.5000 0.0000 0.0000
```

# Nb3PtS

Crystalline Nb3PtS at its relaxed geometry (PBEsol, Alexandria).

## Properties
The symmetry is No. 221. As for the formation energy without anion corrections: 0.07 eV per atom. The density is 9.32 g/cm3. Its total moment is 0.00 μB per formula unit.

```
Nb3PtS
1.0
4.4834 0.0000 0.0000
0.0000 4.4834 0.0000
0.0000 0.0000 4.4834
S Nb Pt
1 3 1
direct
0.0000 0.0000 0.0000
0.5000 0.0000 0.0000
0.0000 0.0000 0.5000
0.0000 0.5000 0.0000
0.5000 0.5000 0.5000
```

# Y2Te2Br

Crystalline Y2Te2Br at its relaxed geometry (PBEsol, Alexandria).

## Properties
The symmetry is No. 127. As for the formation energy without anion corrections: -1.51 eV per atom. The density is 6.36 g/cm3. Its total moment is 0.00 μB per formula unit.

```
Y2Te2Br
1.0
3.9934 0.0000 0.0000
0.0000 8.1884 0.0000
0.0000 0.0000 8.1884
Br Te Y
2 4 4
direct
0.0000 0.0000 0.0000
0.0000 0.5000 0.5000
0.5000 0.1449 0.6449
0.5000 0.3551 0.1449
0.5000 0.8551 0.3551
0.5000 0.6449 0.8551
0.0000 0.6514 0.1514
0.0000 0.3486 0.8486
0.0000 0.1514 0.3486
0.0000 0.8486 0.6514
```

# BaBr3

Crystalline BaBr3 at its relaxed geometry (PBEsol, Alexandria).

## Properties
The symmetry is No. 139. As for the formation energy without anion corrections: -1.45 eV per atom. The density is 5.31 g/cm3. Its total moment is 0.00 μB per formula unit.

```
BaBr3
1.0
4.6002 0.0000 0.0000
0.0000 4.6002 0.0000
-2.3001 -2.3001 5.5716
Br Ba
3 1
direct
0.2500 0.7500 0.5000
0.5000 0.5000 0.0000
0.7500 0.2500 0.5000
0.0000 0.0000 0.0000
```

# YZr2As

Crystalline YZr2As at its relaxed geometry (PBEsol, Alexandria).

## Properties
The symmetry is No. 123. The calculation puts the formation energy at -161 kJ/mol of formula units. The density is 6.89 g/cm3. Its total moment is 0.00 μB per formula unit.

```
YZr2As
1.0
-2.3297 1.7410 -3.0259
-2.2852 -3.5056 -0.2576
-2.9804 1.7023 3.2741
Zr Y As
2 1 1
direct
0.5000 0.5000 0.0000
0.0000 0.0000 0.0000
0.0000 0.5000 0.5000
0.5000 0.0000 0.5000
```

# NaTl2Sb

Crystalline NaTl2Sb at its relaxed geometry (PBEsol, Alexandria).

## Properties
The symmetry is No. 225. As for the formation energy without anion corrections: -0.15 eV per atom. The density is 8.27 g/cm3. Its total moment is 0.00 μB per formula unit.

```
NaTl2Sb
1.0
5.3963 0.0000 0.0000
2.6981 4.6733 0.0000
2.6981 1.5578 4.4060
Na Sb Tl
1 1 2
direct
0.0000 0.0000 0.0000
0.5000 0.5000 0.5000
0.2500 0.2500 0.2500
0.7500 0.7500 0.7500
```